1.
Density functional theory data (PBE) for a geometry-optimized Ce5Ho3Bi8 structure.

Output
**Total energy**: -5.4584 eV/atom
**Magnetic moment**: 4.36 μB per formula unit
**E_form**: -0.805 eV/atom
**V**: 33.293 Å³/atom

Cell: 9.101 9.101 9.097 Å, 59.99 59.99 60.00°
Fractional positions:
1 Bi 0.250 0.250 0.744
2 Bi 0.750 0.750 0.256
3 Bi 0.250 0.756 0.744
4 Bi 0.244 0.750 0.256
5 Bi 0.750 0.244 0.256
6 Bi 0.756 0.250 0.744
7 Bi 0.753 0.753 0.742
8 Bi 0.247 0.247 0.258
9 Ce 0.000 0.000 0.000
10 Ce 0.500 0.000 0.000
11 Ce 0.500 0.500 0.000
12 Ce 0.500 0.500 0.500
13 Ce 0.000 0.500 0.000
14 Ho 0.000 0.500 0.500
15 Ho 0.500 0.000 0.500
16 Ho 0.000 0.000 0.500


2.
Density functional theory data (PBE) for a geometry-optimized Ca4PPb2 structure.

Output
**Total energy**: -3.5455 eV/atom
**Magnetic moment**: 0.00 μB per formula unit
**E_form**: -0.569 eV/atom
**V**: 33.420 Å³/atom

Cell: 5.464 5.464 8.737 Å, 108.22 108.22 90.00°
Fractional positions:
1 Pb 0.622 0.622 0.243
2 Pb 0.378 0.378 0.757
3 Ca 0.500 0.000 0.000
4 Ca 0.000 0.500 0.000
5 Ca 0.176 0.176 0.351
6 Ca 0.824 0.824 0.649
7 P 0.000 0.000 0.000